# 1
## DyEr2Th5 (GGA-PBE)

Data for an optimized crystal structure of DyEr2Th5.

a b c (Å): 7.085 7.085 10.113
angles (deg): 90.00 90.00 90.00
Space group I4/mmm (No. 139)
Unique sites:
1 Dy 0.000 0.000 0.000 (multiplicity 2)
2 Er 0.000 0.500 0.000 (multiplicity 4)
3 Th 0.000 0.000 0.500 (multiplicity 2)
4 Th 0.250 0.250 0.250 (multiplicity 8)

Properties
Total magnetization in Bohr magnetons per cell: 0.0
Density of states at the Fermi level in states/eV per cell: 23.50
Energy relative to the elements in eV/atom: 0.046

# 2
## Dy2Er5Th3 (GGA-PBE)

Data for an optimized crystal structure of Dy2Er5Th3.

a b c (Å): 10.657 16.775 8.972
angles (deg): 90.00 126.42 90.00
Space group C2/c (No. 15)
Unique sites:
1 Dy 0.146 0.121 0.040 (multiplicity 8)
2 Er 0.000 0.031 0.250 (multiplicity 4)
3 Er 0.000 0.219 0.250 (multiplicity 4)
4 Er 0.000 0.469 0.750 (multiplicity 4)
5 Er 0.246 0.123 0.743 (multiplicity 8)
6 Th 0.000 0.273 0.750 (multiplicity 4)
7 Th 0.135 0.374 0.527 (multiplicity 8)

Properties
Total magnetization in Bohr magnetons per cell: 0.0
Density of states at the Fermi level in states/eV per cell: 55.30
Energy relative to the elements in eV/atom: 0.230

# 3
## DyEr6Th2 (GGA-PBE)

Data for an optimized crystal structure of DyEr6Th2.

a b c (Å): 14.025 12.645 6.686
angles (deg): 90.00 105.51 90.00
Space group C2/c (No. 15)
Unique sites:
1 Dy 0.000 0.136 0.250 (multiplicity 4)
2 Er 0.001 0.351 0.514 (multiplicity 8)
3 Er 0.115 0.092 0.787 (multiplicity 8)
4 Er 0.232 0.212 0.246 (multiplicity 8)
5 Th 0.178 0.477 0.370 (multiplicity 8)

Properties
Total magnetization in Bohr magnetons per cell: 0.0
Density of states at the Fermi level in states/eV per cell: 49.36
Energy relative to the elements in eV/atom: 0.186

# 4
## DyEr4Th (GGA-PBE)

Data for an optimized crystal structure of DyEr4Th.

a b c (Å): 9.188 9.188 9.188
angles (deg): 90.00 90.00 90.00
Space group F-43m (No. 216)
Unique sites:
1 Dy 0.000 0.000 0.000 (multiplicity 4)
2 Er 0.125 0.125 0.625 (multiplicity 16)
3 Th 0.250 0.250 0.250 (multiplicity 4)

Properties
Total magnetization in Bohr magnetons per cell: 9.2
Density of states at the Fermi level in states/eV per cell: 55.65
Energy relative to the elements in eV/atom: 0.327

# 5
## Dy8Er3Th (GGA-PBE)

Data for an optimized crystal structure of Dy8Er3Th.

a b c (Å): 7.658 7.658 15.386
angles (deg): 90.00 90.00 90.00
Space group I4/mmm (No. 139)
Unique sites:
1 Dy 0.250 0.250 0.125 (multiplicity 16)
2 Er 0.000 0.000 0.000 (multiplicity 2)
3 Er 0.000 0.500 0.250 (multiplicity 4)
4 Th 0.000 0.000 0.500 (multiplicity 2)

Properties
Total magnetization in Bohr magnetons per cell: 0.0
Density of states at the Fermi level in states/eV per cell: 30.78
Energy relative to the elements in eV/atom: 0.762

# 6
## DyErTh4 (GGA-PBE)

Data for an optimized crystal structure of DyErTh4.

a b c (Å): 3.576 6.161 9.364
angles (deg): 76.97 79.02 73.17
Space group P-1 (No. 2)
Unique sites:
1 Dy 0.000 0.000 0.000 (multiplicity 1)
2 Er 0.000 0.500 0.500 (multiplicity 1)
3 Th 0.331 0.001 0.335 (multiplicity 2)
4 Th 0.331 0.503 0.833 (multiplicity 2)

Properties
Total magnetization in Bohr magnetons per cell: 0.0
Density of states at the Fermi level in states/eV per cell: 8.83
Energy relative to the elements in eV/atom: 0.041